[1]
{
  "formula": "TbPmGdLu",
  "functional": "PBE",
  "state": "relaxed",
  "lattice": [[-0.9972, -5.3813, -1.4992], [-1.6655, -3.7699, 3.9005], [-5.3140, -1.9893, -0.0641]],
  "species": ["Tb", "Lu", "Pm", "Gd"],
  "frac_coords": [[0.0000, 0.0000, 0.0000], [0.5000, 0.5000, 0.5000], [0.7500, 0.7500, 0.7500], [0.2500, 0.2500, 0.2500]],
  "dft_energy_ry_per_atom": -0.505,
  "magmom_total_mub_per_cell": 7.859,
  "dos_ef_per_ev_fu": 7.9,
  "e_form_ev_per_atom": 0.13
}



[2]
{
  "formula": "Hf3AlFe2",
  "functional": "PBE",
  "state": "relaxed",
  "lattice": [[3.1970, 0.0000, 0.0000], [0.0000, 3.1970, 0.0000], [0.0000, 0.0000, 9.8006]],
  "species": ["Hf", "Hf", "Hf", "Fe", "Fe", "Al"],
  "frac_coords": [[0.0000, 0.0000, 0.0000], [0.0000, 0.0000, 0.3131], [0.0000, 0.0000, 0.6869], [0.5000, 0.5000, 0.1641], [0.5000, 0.5000, 0.8359], [0.5000, 0.5000, 0.5000]],
  "dft_energy_ry_per_atom": -0.642,
  "magmom_total_mub_per_cell": 0.962,
  "dos_ef_per_ev_fu": 3.0,
  "e_form_ev_per_atom": -0.31
}



Repeat the second record exactly.
{
  "formula": "Hf3AlFe2",
  "functional": "PBE",
  "state": "relaxed",
  "lattice": [[3.1970, 0.0000, 0.0000], [0.0000, 3.1970, 0.0000], [0.0000, 0.0000, 9.8006]],
  "species": ["Hf", "Hf", "Hf", "Fe", "Fe", "Al"],
  "frac_coords": [[0.0000, 0.0000, 0.0000], [0.0000, 0.0000, 0.3131], [0.0000, 0.0000, 0.6869], [0.5000, 0.5000, 0.1641], [0.5000, 0.5000, 0.8359], [0.5000, 0.5000, 0.5000]],
  "dft_energy_ry_per_atom": -0.642,
  "magmom_total_mub_per_cell": 0.962,
  "dos_ef_per_ev_fu": 3.0,
  "e_form_ev_per_atom": -0.31
}